# 1
# Ce2Al2Si4Rh PBE relaxed
# E_form (uncorrected) (eV per atom): -0.6296
# SG: No. 139
data_Ce2Al2Si4Rh
_cell_length_a 6.093
_cell_length_b 6.093
_cell_length_c 6.093
_cell_angle_alpha 90.75
_cell_angle_beta 119.57
_cell_angle_gamma 119.57
_space_group_name_H-M_alt 'P 1'
_space_group_IT_number 1
_space_group_name_Hall 'P 1'
loop_
_atom_site_label
_atom_site_fract_x
_atom_site_fract_y
_atom_site_fract_z
Si1 0.433 0.716 0.716
Si2 0.567 0.284 0.284
Si3 0.000 0.284 0.716
Si4 0.000 0.716 0.284
Al1 0.000 0.710 0.710
Al2 0.000 0.290 0.290
Ce1 0.500 0.750 0.250
Ce2 0.500 0.250 0.750
Rh1 0.000 0.000 0.000

# 2
# Ce3AlSi6Rh2 PBE relaxed
# E_form (uncorrected) (eV per atom): -0.4285
# SG: No. 164
data_Ce3AlSi6Rh2
_cell_length_a 5.667
_cell_length_b 5.667
_cell_length_c 8.211
_cell_angle_alpha 90.00
_cell_angle_beta 90.00
_cell_angle_gamma 120.00
_space_group_name_H-M_alt 'P 1'
_space_group_IT_number 1
_space_group_name_Hall 'P 1'
loop_
_atom_site_label
_atom_site_fract_x
_atom_site_fract_y
_atom_site_fract_z
Si1 0.811 0.623 0.722
Si2 0.811 0.189 0.722
Si3 0.189 0.811 0.278
Si4 0.377 0.189 0.722
Si5 0.623 0.811 0.278
Si6 0.189 0.377 0.278
Ce1 0.333 0.667 0.609
Ce2 0.667 0.333 0.391
Ce3 0.000 0.000 0.000
Al1 0.000 0.000 0.500
Rh1 0.333 0.667 0.043
Rh2 0.667 0.333 0.957

# 3
# CeAlSiRh PBE relaxed
# E_form (uncorrected) (eV per atom): -0.7928
# SG: No. 160
data_CeAlSiRh
_cell_length_a 4.142
_cell_length_b 4.142
_cell_length_c 5.725
_cell_angle_alpha 68.80
_cell_angle_beta 68.80
_cell_angle_gamma 60.00
_space_group_name_H-M_alt 'P 1'
_space_group_IT_number 1
_space_group_name_Hall 'P 1'
loop_
_atom_site_label
_atom_site_fract_x
_atom_site_fract_y
_atom_site_fract_z
Si1 0.014 0.014 0.958
Rh1 0.314 0.314 0.059
Al1 0.595 0.595 0.214
Ce1 0.803 0.803 0.592

# 4
# CeAlSi2Rh PBE relaxed
# E_form (uncorrected) (eV per atom): -0.8364
# SG: No. 119
data_CeAlSi2Rh
_cell_length_a 4.020
_cell_length_b 4.020
_cell_length_c 6.019
_cell_angle_alpha 109.51
_cell_angle_beta 109.51
_cell_angle_gamma 90.00
_space_group_name_H-M_alt 'P 1'
_space_group_IT_number 1
_space_group_name_Hall 'P 1'
loop_
_atom_site_label
_atom_site_fract_x
_atom_site_fract_y
_atom_site_fract_z
Si1 0.612 0.612 0.223
Si2 0.388 0.388 0.777
Al1 0.750 0.250 0.500
Rh1 0.250 0.750 0.500
Ce1 0.000 0.000 0.000

# 5
# CeAl2SiRh PBE relaxed
# E_form (uncorrected) (eV per atom): -0.7341
# SG: No. 44
data_CeAl2SiRh
_cell_length_a 4.151
_cell_length_b 3.951
_cell_length_c 6.194
_cell_angle_alpha 108.60
_cell_angle_beta 109.58
_cell_angle_gamma 90.00
_space_group_name_H-M_alt 'P 1'
_space_group_IT_number 1
_space_group_name_Hall 'P 1'
loop_
_atom_site_label
_atom_site_fract_x
_atom_site_fract_y
_atom_site_fract_z
Ce1 0.434 0.434 0.868
Si1 0.830 0.830 0.661
Al1 0.056 0.056 0.111
Al2 0.691 0.191 0.382
Rh1 0.201 0.701 0.402

# 6
# CeAl4Si2Rh PBE relaxed
# E_form (uncorrected) (eV per atom): -0.6212
# SG: No. 123
data_CeAl4Si2Rh
_cell_length_a 4.235
_cell_length_b 4.235
_cell_length_c 7.953
_cell_angle_alpha 90.00
_cell_angle_beta 90.00
_cell_angle_gamma 90.00
_space_group_name_H-M_alt 'P 1'
_space_group_IT_number 1
_space_group_name_Hall 'P 1'
loop_
_atom_site_label
_atom_site_fract_x
_atom_site_fract_y
_atom_site_fract_z
Al1 0.000 0.500 0.830
Al2 0.500 0.000 0.170
Al3 0.500 0.000 0.830
Al4 0.000 0.500 0.170
Si1 0.500 0.500 0.357
Si2 0.500 0.500 0.643
Ce1 0.000 0.000 0.500
Rh1 0.000 0.000 0.000

# 7
# CeAlSi2Rh5 PBE relaxed
# E_form (uncorrected) (eV per atom): -0.6711
# SG: No. 123
data_CeAlSi2Rh5
_cell_length_a 4.076
_cell_length_b 4.076
_cell_length_c 9.721
_cell_angle_alpha 90.00
_cell_angle_beta 90.00
_cell_angle_gamma 90.00
_space_group_name_H-M_alt 'P 1'
_space_group_IT_number 1
_space_group_name_Hall 'P 1'
loop_
_atom_site_label
_atom_site_fract_x
_atom_site_fract_y
_atom_site_fract_z
Rh1 0.500 0.500 0.500
Rh2 0.000 0.500 0.849
Rh3 0.500 0.000 0.849
Rh4 0.500 0.000 0.151
Rh5 0.000 0.500 0.151
Si1 0.500 0.500 0.737
Si2 0.500 0.500 0.263
Ce1 0.000 0.000 0.500
Al1 0.000 0.000 0.000

# 8
# Ce2Al2SiRh5 PBE relaxed
# E_form (uncorrected) (eV per atom): -0.7691
# SG: No. 127
data_Ce2Al2SiRh5
_cell_length_a 2.986
_cell_length_b 10.535
_cell_length_c 10.535
_cell_angle_alpha 90.00
_cell_angle_beta 90.00
_cell_angle_gamma 90.00
_space_group_name_H-M_alt 'P 1'
_space_group_IT_number 1
_space_group_name_Hall 'P 1'
loop_
_atom_site_label
_atom_site_fract_x
_atom_site_fract_y
_atom_site_fract_z
Rh1 0.500 0.810 0.951
Rh2 0.500 0.500 0.000
Rh3 0.500 0.190 0.049
Rh4 0.500 0.310 0.549
Rh5 0.500 0.951 0.190
Rh6 0.500 0.549 0.690
Rh7 0.500 0.690 0.451
Rh8 0.500 0.451 0.310
Rh9 0.500 0.049 0.810
Rh10 0.500 0.000 0.500
Al1 0.000 0.632 0.868
Al2 0.000 0.368 0.132
Al3 0.000 0.868 0.368
Al4 0.000 0.132 0.632
Ce1 0.000 0.674 0.174
Ce2 0.000 0.326 0.826
Ce3 0.000 0.174 0.326
Ce4 0.000 0.826 0.674
Si1 0.000 0.500 0.500
Si2 0.000 0.000 0.000

# 9
# TbCeAlRh PBE relaxed
# Formation energy from the elements (eV per atom): -0.44
# SG: No. 216
data_TbCeAlRh
_cell_length_a 5.042
_cell_length_b 5.042
_cell_length_c 5.042
_cell_angle_alpha 60.00
_cell_angle_beta 60.00
_cell_angle_gamma 60.00
_space_group_name_H-M_alt 'P 1'
_space_group_IT_number 1
_space_group_name_Hall 'P 1'
loop_
_atom_site_label
_atom_site_fract_x
_atom_site_fract_y
_atom_site_fract_z
Ce1 0.250 0.250 0.250
Al1 0.000 0.000 0.000
Tb1 0.750 0.750 0.750
Rh1 0.500 0.500 0.500

# 10
# CeAlTcRh PBE relaxed
# Formation energy from the elements (eV per atom): -0.48
# SG: No. 216
data_CeAlTcRh
_cell_length_a 4.606
_cell_length_b 4.606
_cell_length_c 4.606
_cell_angle_alpha 60.00
_cell_angle_beta 60.00
_cell_angle_gamma 60.00
_space_group_name_H-M_alt 'P 1'
_space_group_IT_number 1
_space_group_name_Hall 'P 1'
loop_
_atom_site_label
_atom_site_fract_x
_atom_site_fract_y
_atom_site_fract_z
Rh1 0.250 0.250 0.250
Tc1 0.750 0.750 0.750
Al1 0.000 0.000 0.000
Ce1 0.500 0.500 0.500